A plane-wave DFT calculation with PBE-GGA was carried out for RbMg3Bi3 after structural relaxation.

Calculated values
DFT total energy, eV per atom: -2.67
Formation enthalpy at 0 K, eV per formula unit: -1.3
Offset from the most stable computed form, meV/atom: 0
Calculated density, g cm⁻³: 5.166

a = 10.7012 Å, b = 10.7012 Å, c = 10.7012 Å
α = 42.42°, β = 42.42°, γ = 42.42°
Sites, in units of the cell vectors:
Rb  0.1758  0.1758  0.1758
Rb  0.8242  0.8242  0.8242
Mg  0.0572  0.5814  0.2730
Mg  0.2730  0.0572  0.5814
Mg  0.4186  0.7270  0.9428
Mg  0.5814  0.2730  0.0572
Mg  0.7270  0.9428  0.4186
Mg  0.9428  0.4186  0.7270
Bi  0.1592  0.7063  0.3600
Bi  0.2937  0.6400  0.8408
Bi  0.3600  0.1592  0.7063
Bi  0.6400  0.8408  0.2937
Bi  0.7063  0.3600  0.1592
Bi  0.8408  0.2937  0.6400